1.
The following is a GGA-PBE calculation of a relaxed CaCr2Pt crystal, from Alexandria via LeMat-Bulk.

Space group: No. 12
Energy of formation from the pure elements (eV per atom): 0.19

Unit cell a=5.102 b=5.102 c=5.102 alpha=78.31 beta=78.31 gamma=34.43
Atoms (fractional coordinates):
Pt 0.250 0.250 0.250
Ca 0.750 0.750 0.750
Cr 0.975 0.975 0.122
Cr 0.525 0.525 0.378

2.
The following is a GGA-PBE calculation of a relaxed RbBaInTe3 crystal, from Alexandria via LeMat-Bulk.

Space group: No. 12
Electronic total energy (Ry/atom): -0.24870

Unit cell a=5.894 b=9.759 c=9.717 alpha=101.18 beta=90.00 gamma=107.58
Atoms (fractional coordinates):
Ba 0.643 0.286 0.550
Te 0.502 0.005 0.746
Rb 0.654 0.308 0.055
Te 0.858 0.716 0.231
In 0.013 0.026 0.263
Te 0.498 0.995 0.254
Te 0.142 0.284 0.769
Te 0.167 0.335 0.322
Ba 0.357 0.714 0.450
Rb 0.346 0.692 0.945
Te 0.833 0.665 0.678
In 0.987 0.974 0.737

3.
The following is a GGA-PBE calculation of a relaxed MgCI3 crystal, from Alexandria via LeMat-Bulk.

Space group: No. 221
Relative energy among the computed polymorphs (kJ/mol of atoms): 0.0

Unit cell a=5.131 b=5.131 c=5.131 alpha=90.00 beta=90.00 gamma=90.00
Atoms (fractional coordinates):
Mg 0.500 0.500 0.500
I 0.000 0.000 0.500
C 0.000 0.000 0.000
I 0.500 0.000 0.000
I 0.000 0.500 0.000

4.
The following is a GGA-PBE calculation of a relaxed VTe2Os crystal, from Alexandria via LeMat-Bulk.

Space group: No. 225
Relative energy among the computed polymorphs (kJ/mol of atoms): 0.0

Unit cell a=4.675 b=4.675 c=4.675 alpha=60.00 beta=60.00 gamma=60.00
Atoms (fractional coordinates):
Os 0.500 0.500 0.500
Te 0.750 0.750 0.750
Te 0.250 0.250 0.250
V 0.000 0.000 0.000

5.
The following is a GGA-PBE calculation of a relaxed PuTiAl4 crystal, from Alexandria via LeMat-Bulk.

Space group: No. 216
Energy of formation from the pure elements (eV per atom): -0.24

Unit cell a=5.371 b=5.371 c=5.371 alpha=60.00 beta=60.00 gamma=60.00
Last column: magnetic moment on the atom in μB.
Atoms (fractional coordinates):
Al 0.125 0.625 0.625  0.00
Ti 0.000 0.000 0.000  0.81
Al 0.625 0.125 0.625  0.00
Al 0.625 0.625 0.625  0.00
Al 0.625 0.625 0.125  0.00
Pu 0.250 0.250 0.250  5.38

6.
The following is a GGA-PBE calculation of a relaxed TiSi2Tc2 crystal, from Alexandria via LeMat-Bulk.

Space group: No. 139
Relative energy among the computed polymorphs (kJ/mol of atoms): 50.6

Unit cell a=4.183 b=4.183 c=5.520 alpha=67.74 beta=67.74 gamma=90.00
Atoms (fractional coordinates):
Si 0.250 0.750 0.500
Tc 0.378 0.378 0.243
Si 0.750 0.250 0.500
Ti 0.000 0.000 0.000
Tc 0.622 0.622 0.757

7.
The following is a GGA-PBE calculation of a relaxed SrErP2O8 crystal, from Alexandria via LeMat-Bulk.

Space group: No. 164
Electronic total energy (Ry/atom): -0.54450

Unit cell a=5.376 b=5.376 c=7.329 alpha=90.00 beta=90.00 gamma=120.00
Last column: magnetic moment on the atom in μB.
Atoms (fractional coordinates):
P 0.333 0.667 0.771  -0.01
O 0.333 0.667 0.983  0.22
P 0.667 0.333 0.229  -0.01
Sr 0.000 0.000 0.000  0.00
O 0.353 0.177 0.298  0.07
O 0.176 0.353 0.702  0.07
O 0.667 0.333 0.017  0.22
Er 0.000 0.000 0.500  0.00
O 0.823 0.176 0.298  0.07
O 0.824 0.647 0.298  0.07
O 0.647 0.823 0.702  0.07
O 0.177 0.824 0.702  0.07

8.
The following is a GGA-PBE calculation of a relaxed Ta2Zn2I crystal, from Alexandria via LeMat-Bulk.

Space group: No. 123
Relative energy among the computed polymorphs (kJ/mol of atoms): 62.5

Unit cell a=4.958 b=4.958 c=4.339 alpha=90.00 beta=90.00 gamma=90.00
Last column: magnetic moment on the atom in μB.
Atoms (fractional coordinates):
Zn 0.000 0.000 0.500  0.00
Zn 0.000 0.000 0.000  0.01
Ta 0.500 0.000 0.000  0.11
I 0.500 0.500 0.500  0.00
Ta 0.000 0.500 0.000  0.11

Number 7 is which compound? SrErP2O8